Here is HfMn3O after structural relaxation from Alexandria. Energies are from PBE+U.

Its total magnetization is 10.67 μB/cell. The calculation puts the volume at 16.37 A^3/atom. The calculation puts the relative energy among the computed polymorphs at 0.000 eV per atom.

The structure belongs to space group Pm-3m (No. 221); the cell edges are 4.342, 4.342 and 4.342 Å and the angles 90.00°, 90.00° and 90.00°. Symmetry generates all atoms from Hf at (0.000, 0.000, 0.000), Mn at (0.000, 0.500, 0.500) and O at (0.500, 0.500, 0.500).